A plane-wave DFT calculation with PBE was carried out for a geometry-optimized LaCr structure.

Calculated values
energy relative to the elements: 1.21 eV/f.u.
DFT total energy: -6.668 eV per atom
ρ: 6.63 g/cm3

```
data_LaCr
_symmetry_space_group_name_H-M 'P 1'
_symmetry_Int_Tables_number 1
_cell_length_a 9.763
_cell_length_b 9.763
_cell_length_c 3.476
_cell_angle_alpha 90.00
_cell_angle_beta 90.00
_cell_angle_gamma 120.00
loop_
_symmetry_equiv_pos_as_xyz
'x,y,z'
loop_
_atom_site_label
_atom_site_type_symbol
_atom_site_fract_x
_atom_site_fract_y
_atom_site_fract_z
_atom_site_occupancy
Cr1 Cr 0.457 0.543 0.250 1
Cr2 Cr 0.457 0.914 0.250 1
Cr3 Cr 0.086 0.543 0.250 1
Cr4 Cr 0.543 0.457 0.750 1
Cr5 Cr 0.543 0.086 0.750 1
Cr6 Cr 0.914 0.457 0.750 1
La1 La 0.650 0.825 0.750 1
La2 La 0.825 0.650 0.250 1
La3 La 0.825 0.175 0.250 1
La4 La 0.175 0.350 0.750 1
La5 La 0.350 0.175 0.250 1
La6 La 0.175 0.825 0.750 1
```

---

A plane-wave DFT calculation with PBE was carried out for a geometry-optimized LaCr structure.

Calculated values
energy relative to the elements: 0.82 eV/f.u.
DFT total energy: -6.866 eV per atom
ρ: 6.55 g/cm3

```
data_LaCr
_symmetry_space_group_name_H-M 'P 1'
_symmetry_Int_Tables_number 1
_cell_length_a 6.217
_cell_length_b 6.217
_cell_length_c 7.557
_cell_angle_alpha 70.84
_cell_angle_beta 70.84
_cell_angle_gamma 31.94
loop_
_symmetry_equiv_pos_as_xyz
'x,y,z'
loop_
_atom_site_label
_atom_site_type_symbol
_atom_site_fract_x
_atom_site_fract_y
_atom_site_fract_z
_atom_site_occupancy
La1 La 0.024 0.024 0.481 1
La2 La 0.726 0.726 0.094 1
La3 La 0.014 0.014 0.938 1
Cr1 Cr 0.350 0.350 0.339 1
Cr2 Cr 0.316 0.316 0.734 1
Cr3 Cr 0.736 0.736 0.580 1
```

---

A plane-wave DFT calculation with PBE was carried out for a geometry-optimized LaCr2 structure.

Calculated values
energy relative to the elements: 2.54 eV/f.u.
DFT total energy: -7.212 eV per atom
ρ: 6.33 g/cm3

```
data_LaCr2
_symmetry_space_group_name_H-M 'P 1'
_symmetry_Int_Tables_number 1
_cell_length_a 6.152
_cell_length_b 4.501
_cell_length_c 9.199
_cell_angle_alpha 90.00
_cell_angle_beta 90.00
_cell_angle_gamma 90.00
loop_
_symmetry_equiv_pos_as_xyz
'x,y,z'
loop_
_atom_site_label
_atom_site_type_symbol
_atom_site_fract_x
_atom_site_fract_y
_atom_site_fract_z
_atom_site_occupancy
La1 La 0.843 0.750 0.096 1
La2 La 0.157 0.250 0.904 1
La3 La 0.343 0.750 0.404 1
La4 La 0.657 0.250 0.596 1
Cr1 Cr 0.601 0.250 0.239 1
Cr2 Cr 0.876 0.750 0.421 1
Cr3 Cr 0.376 0.750 0.079 1
Cr4 Cr 0.399 0.750 0.761 1
Cr5 Cr 0.899 0.750 0.739 1
Cr6 Cr 0.124 0.250 0.579 1
Cr7 Cr 0.101 0.250 0.261 1
Cr8 Cr 0.624 0.250 0.921 1
```

---

A plane-wave DFT calculation with PBE was carried out for a geometry-optimized LaCr2 structure.

Calculated values
energy relative to the elements: 2.32 eV/f.u.
DFT total energy: -7.286 eV per atom
ρ: 6.58 g/cm3

```
data_LaCr2
_symmetry_space_group_name_H-M 'P 1'
_symmetry_Int_Tables_number 1
_cell_length_a 7.672
_cell_length_b 7.672
_cell_length_c 3.229
_cell_angle_alpha 90.00
_cell_angle_beta 90.00
_cell_angle_gamma 139.84
loop_
_symmetry_equiv_pos_as_xyz
'x,y,z'
loop_
_atom_site_label
_atom_site_type_symbol
_atom_site_fract_x
_atom_site_fract_y
_atom_site_fract_z
_atom_site_occupancy
Cr1 Cr 0.709 0.291 0.750 1
Cr2 Cr 0.448 0.552 0.750 1
Cr3 Cr 0.291 0.709 0.250 1
Cr4 Cr 0.552 0.448 0.250 1
La1 La 0.099 0.901 0.750 1
La2 La 0.901 0.099 0.250 1
```

---

A plane-wave DFT calculation with PBE was carried out for a geometry-optimized LaCr2 structure.

Calculated values
energy relative to the elements: 1.59 eV/f.u.
DFT total energy: -7.530 eV per atom
ρ: 6.26 g/cm3

```
data_LaCr2
_symmetry_space_group_name_H-M 'P 1'
_symmetry_Int_Tables_number 1
_cell_length_a 5.028
_cell_length_b 5.028
_cell_length_c 7.162
_cell_angle_alpha 87.02
_cell_angle_beta 87.02
_cell_angle_gamma 45.45
loop_
_symmetry_equiv_pos_as_xyz
'x,y,z'
loop_
_atom_site_label
_atom_site_type_symbol
_atom_site_fract_x
_atom_site_fract_y
_atom_site_fract_z
_atom_site_occupancy
La1 La 0.262 0.262 0.931 1
La2 La 0.010 0.010 0.618 1
Cr1 Cr 0.931 0.931 0.191 1
Cr2 Cr 0.731 0.731 0.505 1
Cr3 Cr 0.596 0.596 0.238 1
Cr4 Cr 0.303 0.303 0.351 1
```

---

A plane-wave DFT calculation with PBE was carried out for a geometry-optimized LaCr structure.

Calculated values
energy relative to the elements: 1.21 eV/f.u.
DFT total energy: -6.672 eV per atom
ρ: 6.26 g/cm3

```
data_LaCr
_symmetry_space_group_name_H-M 'P 1'
_symmetry_Int_Tables_number 1
_cell_length_a 4.479
_cell_length_b 4.479
_cell_length_c 5.961
_cell_angle_alpha 67.93
_cell_angle_beta 67.93
_cell_angle_gamma 90.00
loop_
_symmetry_equiv_pos_as_xyz
'x,y,z'
loop_
_atom_site_label
_atom_site_type_symbol
_atom_site_fract_x
_atom_site_fract_y
_atom_site_fract_z
_atom_site_occupancy
Cr1 Cr 0.000 0.000 0.000 1
Cr2 Cr 0.750 0.250 0.500 1
La1 La 0.500 0.500 0.000 1
La2 La 0.250 0.750 0.500 1
```

---

A plane-wave DFT calculation with PBE was carried out for a geometry-optimized LaCr2 structure.

Calculated values
energy relative to the elements: 2.15 eV/f.u.
DFT total energy: -7.342 eV per atom
ρ: 6.31 g/cm3

```
data_LaCr2
_symmetry_space_group_name_H-M 'P 1'
_symmetry_Int_Tables_number 1
_cell_length_a 7.179
_cell_length_b 7.179
_cell_length_c 7.179
_cell_angle_alpha 143.86
_cell_angle_beta 143.86
_cell_angle_gamma 52.03
loop_
_symmetry_equiv_pos_as_xyz
'x,y,z'
loop_
_atom_site_label
_atom_site_type_symbol
_atom_site_fract_x
_atom_site_fract_y
_atom_site_fract_z
_atom_site_occupancy
La1 La 0.000 0.000 0.000 1
La2 La 0.750 0.250 0.500 1
Cr1 Cr 0.177 0.677 0.500 1
Cr2 Cr 0.427 0.427 0.000 1
Cr3 Cr 0.573 0.573 0.000 1
Cr4 Cr 0.323 0.823 0.500 1
```

---

A plane-wave DFT calculation with PBE was carried out for a geometry-optimized La3Cr structure.

Calculated values
energy relative to the elements: 2.36 eV/f.u.
DFT total energy: -5.510 eV per atom
ρ: 5.03 g/cm3

```
data_La3Cr
_symmetry_space_group_name_H-M 'P 1'
_symmetry_Int_Tables_number 1
_cell_length_a 5.368
_cell_length_b 5.368
_cell_length_c 5.368
_cell_angle_alpha 90.00
_cell_angle_beta 90.00
_cell_angle_gamma 90.00
loop_
_symmetry_equiv_pos_as_xyz
'x,y,z'
loop_
_atom_site_label
_atom_site_type_symbol
_atom_site_fract_x
_atom_site_fract_y
_atom_site_fract_z
_atom_site_occupancy
La1 La 0.000 0.000 0.500 1
La2 La 0.000 0.500 0.000 1
La3 La 0.500 0.000 0.000 1
Cr1 Cr 0.000 0.000 0.000 1
```

---

A plane-wave DFT calculation with PBE was carried out for a geometry-optimized LaCr structure.

Calculated values
energy relative to the elements: 1.30 eV/f.u.
DFT total energy: -6.624 eV per atom
ρ: 5.99 g/cm3

```
data_LaCr
_symmetry_space_group_name_H-M 'P 1'
_symmetry_Int_Tables_number 1
_cell_length_a 5.959
_cell_length_b 5.959
_cell_length_c 5.959
_cell_angle_alpha 90.00
_cell_angle_beta 90.00
_cell_angle_gamma 90.00
loop_
_symmetry_equiv_pos_as_xyz
'x,y,z'
loop_
_atom_site_label
_atom_site_type_symbol
_atom_site_fract_x
_atom_site_fract_y
_atom_site_fract_z
_atom_site_occupancy
Cr1 Cr 0.097 0.597 0.903 1
Cr2 Cr 0.403 0.403 0.403 1
Cr3 Cr 0.597 0.903 0.097 1
Cr4 Cr 0.903 0.097 0.597 1
La1 La 0.583 0.417 0.917 1
La2 La 0.083 0.083 0.083 1
La3 La 0.417 0.917 0.583 1
La4 La 0.917 0.583 0.417 1
```

---

A plane-wave DFT calculation with PBE was carried out for a geometry-optimized La5Cr4 structure.

Calculated values
energy relative to the lowest polymorph listed for this composition: 0 meV per atom
energy relative to the elements: 4.58 eV/f.u.
DFT total energy: -6.505 eV per atom
ρ: 6.04 g/cm3

```
data_La5Cr4
_symmetry_space_group_name_H-M 'P 1'
_symmetry_Int_Tables_number 1
_cell_length_a 9.246
_cell_length_b 9.246
_cell_length_c 6.707
_cell_angle_alpha 90.00
_cell_angle_beta 90.00
_cell_angle_gamma 120.00
loop_
_symmetry_equiv_pos_as_xyz
'x,y,z'
loop_
_atom_site_label
_atom_site_type_symbol
_atom_site_fract_x
_atom_site_fract_y
_atom_site_fract_z
_atom_site_occupancy
Cr1 Cr 0.631 0.631 0.250 1
Cr2 Cr 0.000 0.369 0.250 1
Cr3 Cr 0.000 0.631 0.750 1
Cr4 Cr 0.369 0.000 0.250 1
Cr5 Cr 0.369 0.369 0.750 1
Cr6 Cr 0.000 0.000 0.500 1
Cr7 Cr 0.631 0.000 0.750 1
Cr8 Cr 0.000 0.000 0.000 1
La1 La 0.333 0.667 0.500 1
La2 La 0.667 0.333 0.500 1
La3 La 0.281 0.000 0.750 1
La4 La 0.333 0.667 0.000 1
La5 La 0.281 0.281 0.250 1
La6 La 0.000 0.719 0.250 1
La7 La 0.719 0.719 0.750 1
La8 La 0.667 0.333 0.000 1
La9 La 0.000 0.281 0.750 1
La10 La 0.719 0.000 0.250 1
```